[1]
Entry from Alexandria via LeMat-Bulk: a relaxed Ac3TlNi crystal (GGA-PBE).

a b c (Å): 4.3192 9.8570 16.4717
angles (deg): 90.00 90.00 90.00
With the nearest neighbours (Å) after each atom.
Sites, in units of the cell vectors:
Ac (0.7500, 0.7891, 0.2081)  1 Ni 2.85
Ac (0.7500, 0.1682, 0.0011)  2 Ni 2.96
Ac (0.2500, 0.7109, 0.7081)  1 Ni 2.85
Ac (0.7500, 0.6682, 0.4989)  2 Ni 2.96
Ac (0.2500, 0.4680, 0.1117)  3 Ni 2.95-3.00
Ac (0.2500, 0.3318, 0.5011)  2 Ni 2.96
Ac (0.2500, 0.9680, 0.3883)  3 Ni 2.95-3.00
Ac (0.7500, 0.5320, 0.8883)  3 Ni 2.95-3.00
Ac (0.7500, 0.0320, 0.6117)  3 Ni 2.95-3.00
Ac (0.7500, 0.2891, 0.2919)  1 Ni 2.85
Ac (0.2500, 0.8318, 0.9989)  2 Ni 2.96
Ac (0.2500, 0.2109, 0.7919)  1 Ni 2.85
Tl (0.2500, 0.5780, 0.3300)  9 Ac 3.61-3.96
Tl (0.7500, 0.9220, 0.8300)  9 Ac 3.61-3.96
Tl (0.7500, 0.4220, 0.6700)  9 Ac 3.61-3.96
Tl (0.2500, 0.0780, 0.1700)  9 Ac 3.61-3.96
Ni (0.2500, 0.8504, 0.5565)  6 Ac 2.85-3.00
Ni (0.7500, 0.1496, 0.4435)  6 Ac 2.85-3.00
Ni (0.2500, 0.3504, 0.9435)  6 Ac 2.85-3.00
Ni (0.7500, 0.6496, 0.0565)  6 Ac 2.85-3.00

Values from the calculation:
The formation energy from the elements comes out at -5.6 kcal/mol of atoms. The offset from the most stable computed form is 0 meV/atom.

=====

[2]
Entry from Alexandria via LeMat-Bulk: a relaxed BaCaPd2 crystal (GGA-PBE).

a b c (Å): 4.2105 4.5338 6.1797
angles (deg): 90.00 109.93 90.00
With the nearest neighbours (Å) after each atom.
Sites, in units of the cell vectors:
Ba (0.4374, 0.5000, 0.4133)  7 Pd 3.20-3.35
Pd (0.0202, 0.0000, 0.5790)  2 Pd 2.80, 2 Ca 3.07
Pd (0.1614, 0.5000, 0.8625)  2 Pd 2.80
Ca (0.7120, 0.0000, 0.9632)  6 Pd 3.07-3.15

Values from the calculation:
The formation energy from the elements comes out at -13.1 kcal/mol of atoms. The offset from the most stable computed form is 0 meV/atom.

=====

[3]
Entry from Alexandria via LeMat-Bulk: a relaxed Tm2ZrTl3Se6 crystal (GGA-PBE).

a b c (Å): 6.9679 6.9679 8.3142
angles (deg): 98.05 98.05 120.00
With the nearest neighbours (Å) after each atom.
Sites, in units of the cell vectors:
Se (0.9339, 0.6096, 0.8014)  1 Zr 2.76, 2 Tm 2.84
Se (0.6096, 0.9339, 0.8014)  1 Zr 2.76, 2 Tm 2.84
Se (0.2571, 0.2571, 0.7992)  1 Zr 2.77, 2 Tm 2.85
Se (0.0661, 0.3904, 0.1986)  1 Zr 2.76, 2 Tm 2.84
Se (0.3904, 0.0661, 0.1986)  1 Zr 2.76, 2 Tm 2.84
Se (0.7429, 0.7429, 0.2008)  1 Zr 2.77, 2 Tm 2.85
Tl (0.5000, 0.5000, 0.5000)  6 Se 3.32-3.38
Tl (0.1698, 0.8302, 0.5000)  6 Se 3.32-3.37
Tl (0.8302, 0.1698, 0.5000)  6 Se 3.32-3.37
Zr (0.0000, 0.0000, 0.0000)  6 Se 2.76-2.77
Tm (0.3337, 0.6663, 0.0000)  6 Se 2.84-2.85
Tm (0.6663, 0.3337, 0.0000)  6 Se 2.84-2.85

Values from the calculation:
As for the electronic total energy: -5.00 eV per atom.

=====

[4]
Entry from Alexandria via LeMat-Bulk: a relaxed TbCe4Te6 crystal (GGA-PBE).

a b c (Å): 8.8993 8.8993 8.8993
angles (deg): 88.94 88.94 91.06
With the nearest neighbours (Å) after each atom.
Sites, in units of the cell vectors:
Te (0.4166, 0.5595, 0.8230)  1 Tb 3.01, 3 Ce 3.19-3.35
Te (0.0595, 0.9166, 0.3230)  1 Tb 3.01, 3 Ce 3.19-3.35
Te (0.5595, 0.1770, 0.5834)  1 Tb 3.01, 3 Ce 3.19-3.35
Te (0.9166, 0.6770, 0.9405)  1 Tb 3.01, 3 Ce 3.19-3.35
Te (0.5834, 0.4405, 0.1770)  1 Tb 3.01, 3 Ce 3.19-3.35
Te (0.8230, 0.5834, 0.5595)  1 Tb 3.01, 3 Ce 3.19-3.35
Te (0.3230, 0.9405, 0.9166)  1 Tb 3.01, 3 Ce 3.19-3.35
Te (0.9405, 0.0833, 0.6770)  1 Tb 3.01, 3 Ce 3.19-3.35
Te (0.0833, 0.3230, 0.0595)  1 Tb 3.01, 3 Ce 3.19-3.35
Te (0.6770, 0.0595, 0.0833)  1 Tb 3.01, 3 Ce 3.19-3.35
Te (0.1770, 0.4166, 0.4405)  1 Tb 3.01, 3 Ce 3.19-3.35
Te (0.4405, 0.8230, 0.4166)  1 Tb 3.01, 3 Ce 3.19-3.35
Ce (0.6410, 0.8590, 0.7500)  8 Te 3.27-3.51
Ce (0.1410, 0.7500, 0.6410)  8 Te 3.27-3.51
Ce (0.2500, 0.6410, 0.1410)  8 Te 3.27-3.51
Ce (0.8590, 0.2500, 0.3590)  8 Te 3.27-3.51
Ce (0.2500, 0.2500, 0.7500)  6 Te 3.19
Ce (0.7500, 0.7500, 0.2500)  6 Te 3.19
Ce (0.3590, 0.1410, 0.2500)  8 Te 3.27-3.51
Ce (0.7500, 0.3590, 0.8590)  8 Te 3.27-3.51
Tb (0.0000, 0.0000, 0.0000)  6 Te 3.01
Tb (0.5000, 0.5000, 0.5000)  6 Te 3.01

Values from the calculation:
As for the electronic total energy: -5.57 eV per atom.

=====

Copy entry 4 word for word.
Entry from Alexandria via LeMat-Bulk: a relaxed TbCe4Te6 crystal (GGA-PBE).

a b c (Å): 8.8993 8.8993 8.8993
angles (deg): 88.94 88.94 91.06
With the nearest neighbours (Å) after each atom.
Sites, in units of the cell vectors:
Te (0.4166, 0.5595, 0.8230)  1 Tb 3.01, 3 Ce 3.19-3.35
Te (0.0595, 0.9166, 0.3230)  1 Tb 3.01, 3 Ce 3.19-3.35
Te (0.5595, 0.1770, 0.5834)  1 Tb 3.01, 3 Ce 3.19-3.35
Te (0.9166, 0.6770, 0.9405)  1 Tb 3.01, 3 Ce 3.19-3.35
Te (0.5834, 0.4405, 0.1770)  1 Tb 3.01, 3 Ce 3.19-3.35
Te (0.8230, 0.5834, 0.5595)  1 Tb 3.01, 3 Ce 3.19-3.35
Te (0.3230, 0.9405, 0.9166)  1 Tb 3.01, 3 Ce 3.19-3.35
Te (0.9405, 0.0833, 0.6770)  1 Tb 3.01, 3 Ce 3.19-3.35
Te (0.0833, 0.3230, 0.0595)  1 Tb 3.01, 3 Ce 3.19-3.35
Te (0.6770, 0.0595, 0.0833)  1 Tb 3.01, 3 Ce 3.19-3.35
Te (0.1770, 0.4166, 0.4405)  1 Tb 3.01, 3 Ce 3.19-3.35
Te (0.4405, 0.8230, 0.4166)  1 Tb 3.01, 3 Ce 3.19-3.35
Ce (0.6410, 0.8590, 0.7500)  8 Te 3.27-3.51
Ce (0.1410, 0.7500, 0.6410)  8 Te 3.27-3.51
Ce (0.2500, 0.6410, 0.1410)  8 Te 3.27-3.51
Ce (0.8590, 0.2500, 0.3590)  8 Te 3.27-3.51
Ce (0.2500, 0.2500, 0.7500)  6 Te 3.19
Ce (0.7500, 0.7500, 0.2500)  6 Te 3.19
Ce (0.3590, 0.1410, 0.2500)  8 Te 3.27-3.51
Ce (0.7500, 0.3590, 0.8590)  8 Te 3.27-3.51
Tb (0.0000, 0.0000, 0.0000)  6 Te 3.01
Tb (0.5000, 0.5000, 0.5000)  6 Te 3.01

Values from the calculation:
As for the electronic total energy: -5.57 eV per atom.